(1)
ThSn3Se6 | Alexandria | PBE | optimized geometry; SG = No. 11; raw formation energy = -0.765 eV/atom; M_tot = 0.00 μB/cell
1.0
11.8909 0.0000 0.0000
0.0000 4.1265 0.0000
-4.4481 0.0000 11.7928
Th Sn Se
2 6 12
direct
0.1985 0.2500 0.0392
0.8015 0.7500 0.9608
0.0402 0.7500 0.2931
0.3441 0.2500 0.4485
0.3814 0.7500 0.8277
0.6186 0.2500 0.1723
0.6559 0.7500 0.5515
0.9598 0.2500 0.7069
0.0283 0.7500 0.9013
0.0970 0.2500 0.4456
0.2123 0.2500 0.7913
0.2364 0.7500 0.2272
0.3867 0.7500 0.0580
0.4184 0.7500 0.6056
0.5816 0.2500 0.3944
0.6133 0.2500 0.9420
0.7636 0.2500 0.7728
0.7877 0.7500 0.2087
0.9030 0.7500 0.5544
0.9717 0.2500 0.0987

=====

(2)
ScMo3 | Alexandria | PBE | optimized geometry; SG = No. 225; formation energy from the elements = 0.1096 eV per atom; M_tot = 0.00 μB/cell
1.0
0.0000 3.2155 3.2155
3.2155 0.0000 3.2155
3.2155 3.2155 0.0000
Sc Mo
1 3
direct
0.0000 0.0000 0.0000
0.2500 0.2500 0.2500
0.5000 0.5000 0.5000
0.7500 0.7500 0.7500

=====

(3)
LiNiSb4 | Alexandria | PBE | optimized geometry; SG = No. 216; raw formation energy = 0.510 eV/atom; M_tot = 0.99 μB/cell
1.0
0.0000 4.3570 4.3570
4.3570 0.0000 4.3570
4.3570 4.3570 0.0000
Li Ni Sb
1 1 4
direct
0.0000 0.0000 0.0000
0.7500 0.7500 0.7500
0.3758 0.3758 0.3758
0.3758 0.3758 0.8727
0.3758 0.8727 0.3758
0.8727 0.3758 0.3758

=====

(4)
ErSiS3 | Alexandria | PBE | optimized geometry; offset from the most stable computed form = 207.6 meV/atom; SG = No. 33; raw formation energy = -1.075 eV/atom; M_tot = 0.00 μB/cell
1.0
7.6708 0.0000 0.0000
0.0000 6.2507 0.0000
0.0000 0.0000 8.8618
Er Si S
4 4 12
direct
0.1199 0.0687 0.0000
0.3801 0.5687 0.5000
0.6199 0.4313 0.0000
0.8801 0.9313 0.5000
0.2232 0.6571 0.1305
0.2768 0.1571 0.6305
0.7232 0.8429 0.1305
0.7768 0.3429 0.6305
0.0546 0.3300 0.5236
0.1750 0.8519 0.6970
0.1836 0.8459 0.3316
0.3164 0.3459 0.8316
0.3250 0.3519 0.1970
0.4454 0.8300 0.0236
0.5546 0.1700 0.5236
0.6750 0.6481 0.6970
0.6836 0.6541 0.3316
0.8164 0.1541 0.8316
0.8250 0.1481 0.1970
0.9454 0.6700 0.0236

=====

(5)
Li3Er2RhO6 | Alexandria | PBE | optimized geometry; SG = No. 12; raw formation energy = -2.334 eV/atom; M_tot = 0.00 μB/cell
1.0
2.7318 -4.8825 0.0000
2.7318 4.8825 0.0000
-1.5639 0.0000 5.0763
Li Er Rh O
3 2 1 6
direct
0.0000 0.0000 0.0000
0.3677 0.6323 0.0000
0.6323 0.3677 0.0000
0.1670 0.8330 0.5000
0.8330 0.1670 0.5000
0.5000 0.5000 0.5000
0.1189 0.4341 0.2618
0.2482 0.2482 0.7418
0.4341 0.1189 0.2618
0.5659 0.8811 0.7382
0.7518 0.7518 0.2582
0.8811 0.5659 0.7382

=====

(6)
AcTm2O | Alexandria | PBE | optimized geometry; offset from the most stable computed form = 0.0 meV/atom; SG = No. 166; raw formation energy = -1.164 eV/atom; M_tot = 0.00 μB/cell
1.0
1.7592 1.0157 9.6166
-1.7592 1.0157 9.6166
0.0000 -2.0313 9.6166
Ac Tm O
1 2 1
direct
0.0000 0.0000 0.0000
0.1225 0.1225 0.1225
0.8775 0.8775 0.8775
0.5000 0.5000 0.5000

=====

(7)
Zn2RePt | Alexandria | PBE | optimized geometry; offset from the most stable computed form = 77.0 meV/atom; SG = No. 160; formation energy from the elements = 0.0042 eV per atom; M_tot = 0.00 μB/cell
1.0
1.3943 0.8050 8.9241
-1.3943 0.8050 8.9241
0.0000 -1.6100 8.9241
Zn Re Pt
2 1 1
direct
0.0000 0.0000 0.0000
0.2469 0.2469 0.2469
0.7493 0.7493 0.7493
0.4985 0.4985 0.4985

=====

(8)
Mg4TeRh | Alexandria | PBE | optimized geometry; SG = No. 216; raw formation energy = 0.111 eV/atom; M_tot = 0.00 μB/cell
1.0
0.0000 3.9618 3.9618
3.9618 0.0000 3.9618
3.9618 3.9618 0.0000
Mg Te Rh
4 1 1
direct
0.1241 0.1241 0.1241
0.1241 0.1241 0.6277
0.1241 0.6277 0.1241
0.6277 0.1241 0.1241
0.5000 0.5000 0.5000
0.7500 0.7500 0.7500

=====

(9)
NdPu2Mo | Alexandria | PBE | optimized geometry; SG = No. 166; formation energy from the elements = 0.4619 eV per atom; M_tot = 10.66 μB/cell
1.0
1.6475 0.9512 10.8683
-1.6475 0.9512 10.8683
0.0000 -1.9023 10.8683
Nd Pu Mo
1 2 1
direct
0.0000 0.0000 0.0000
0.0998 0.0998 0.0998
0.9002 0.9002 0.9002
0.5000 0.5000 0.5000